The following is a PBE calculation of an optimized crystal structure of Th4ScRh15, from the Alexandria database.

abc: 4.0892 4.0892 20.5132
angles: 90.00 90.00 90.00
Closest atoms and distances in Å follow each position.
Element x y z (fractional)
Rh1 0.5000 0.0000 0.7040  8 Rh 2.89-2.93, 4 Th 2.92
Th1 0.0000 0.0000 0.1942  12 Rh 2.89-2.94
Rh2 0.5000 0.5000 0.1938  4 Th 2.89, 8 Rh 2.93
Rh3 0.0000 0.5000 0.0912  8 Rh 2.77-2.93, 2 Sc 2.77, 2 Th 2.94
Rh4 0.0000 0.5000 0.2960  8 Rh 2.89-2.93, 4 Th 2.92
Rh5 0.5000 0.5000 0.8062  4 Th 2.89, 8 Rh 2.93
Rh6 0.5000 0.5000 0.3981  4 Th 2.89, 8 Rh 2.92-2.93
Rh7 0.5000 0.0000 0.2960  8 Rh 2.89-2.93, 4 Th 2.92
Rh8 0.0000 0.5000 0.7040  8 Rh 2.89-2.93, 4 Th 2.92
Th2 0.0000 0.0000 0.3979  12 Rh 2.89-2.93
Th3 0.0000 0.0000 0.8058  12 Rh 2.89-2.94
Th4 0.0000 0.0000 0.6021  12 Rh 2.89-2.93
Rh9 0.5000 0.5000 0.0000  8 Rh 2.77, 4 Sc 2.89
Rh10 0.5000 0.0000 0.5000  8 Rh 2.89-2.92, 4 Th 2.93
Rh11 0.5000 0.5000 0.6019  4 Th 2.89, 8 Rh 2.92-2.93
Rh12 0.5000 0.0000 0.9088  2 Sc 2.77, 8 Rh 2.77-2.93, 2 Th 2.94
Sc1 0.0000 0.0000 0.0000  12 Rh 2.77-2.89
Rh13 0.0000 0.5000 0.5000  8 Rh 2.89-2.92, 4 Th 2.93
Rh14 0.0000 0.5000 0.9088  8 Rh 2.77-2.93, 2 Sc 2.77, 2 Th 2.94
Rh15 0.5000 0.0000 0.0912  2 Sc 2.77, 8 Rh 2.77-2.93, 2 Th 2.94

Properties
The calculation puts the calculated total energy at -160.1 eV/cell. As for the formation energy: -0.689 eV/atom.